The following is a DFT calculation (meta-GGA SCAN) of a PBEsol-optimized structure of SrBe2Tl.

Summary:
Space group   Amm2, No. 38
Total moment   0.0 μB/cell

The structure in extended XYZ format:
```
4
Lattice="-2.441 -1.877 2.507 2.347 -3.267 -0.161 1.610 3.433 4.138" Properties=species:S:1:pos:R:3 pbc="T T T"
Be 2.825 -0.566 2.327
Be 1.260 -1.727 3.079
Tl 0.895 0.428 4.337
Sr 0.486 0.314 0.709
```

The following is a DFT calculation (meta-GGA SCAN) of a PBEsol-optimized structure of SrBeTl2.

Summary:
Space group   Fm-3m, No. 225
Total moment   0.0 μB/cell

The structure in extended XYZ format:
```
4
Lattice="-3.773 -3.284 -1.310 0.260 -4.953 1.463 -3.229 -1.802 3.615" Properties=species:S:1:pos:R:3 pbc="T T T"
Tl -1.686 -2.510 0.942
Tl -5.057 -7.530 2.826
Sr 0.000 0.000 0.000
Be -3.371 -5.020 1.884
```

The following is a DFT calculation (meta-GGA SCAN) of a PBEsol-optimized structure of SrBe2W.

Summary:
Space group   R3m, No. 160
Total moment   0.0 μB/cell

The structure in extended XYZ format:
```
4
Lattice="3.801 0.000 0.000 1.900 3.292 0.000 1.900 1.097 5.753" Properties=species:S:1:pos:R:3 pbc="T T T"
Sr 3.801 2.194 2.699
Be 5.701 3.292 0.293
Be 1.900 1.097 0.304
W 5.701 3.292 5.138
```

The following is a DFT calculation (meta-GGA SCAN) of a PBEsol-optimized structure of Sr3BeW.

Summary:
Space group   Pm-3m, No. 221
Total moment   0.0 μB/cell

The structure in extended XYZ format:
```
5
Lattice="-4.045 -3.939 0.653 1.428 -0.559 5.473 -3.729 4.060 1.388" Properties=species:S:1:pos:R:3 pbc="T T T"
Sr -2.023 -1.970 0.327
Sr 0.714 -0.279 2.737
Sr -1.864 2.030 0.694
Be -3.173 -0.219 3.757
W 0.000 0.000 0.000
```

The following is a DFT calculation (meta-GGA SCAN) of a PBEsol-optimized structure of Sr2YBe.

Summary:
Space group   Imm2, No. 44
Total moment   0.6 μB/cell

The structure in extended XYZ format:
```
4
Lattice="-0.787 0.548 3.570 4.447 -3.356 1.496 1.870 6.332 -2.473" Properties=species:S:1:pos:R:3 pbc="T T T"
Y 2.317 -0.757 2.541
Be 3.966 0.645 0.776
Sr 5.142 3.006 2.586
Sr 1.465 2.749 1.815
```

The following is a DFT calculation (meta-GGA SCAN) of a PBEsol-optimized structure of SrYBe.

Summary:
Space group   P-6m2, No. 187
Total moment   0.0 μB/cell

The structure in extended XYZ format:
```
3
Lattice="-3.080 3.649 0.495 -2.694 -2.633 2.650 3.326 2.548 1.912" Properties=species:S:1:pos:R:3 pbc="T T T"
Sr -2.741 1.527 2.734
Y 0.806 1.429 2.240
Be -0.513 0.607 0.082
```

no.,ΔE_f (eV per formula unit)
1,0.65
2,0.36
3,2.42
4,7.48
5,1.37
6,1.49